1.
AlAuN2F: optimized geometry, GGA-PBE.

Raw formation energy (eV/f.u.): 0.25
VASP energy (eV/cell): -25.3
Symmetry: P4/mmm, No. 123

abc: 3.930 3.930 3.545
angles: 90.00 90.00 90.00
Atoms (fractional coordinates):
1 Al 0.000 0.000 0.000
2 Au 0.500 0.500 0.500
3 N 0.000 0.500 0.000
4 N 0.500 0.000 0.000
5 F 0.000 0.000 0.500

2.
Sm5CuBi2: optimized geometry, GGA-PBE.

Energy of formation (meV/atom): -199
VASP energy (eV/cell): -74.1
Symmetry: Cmcm, No. 63

abc: 6.903 6.903 13.964
angles: 90.00 90.00 128.27
Atoms (fractional coordinates):
1 Sm 0.065 0.935 0.610
2 Sm 0.065 0.935 0.890
3 Sm 0.376 0.624 0.250
4 Sm 0.378 0.622 0.569
5 Sm 0.378 0.622 0.931
6 Sm 0.622 0.378 0.069
7 Sm 0.622 0.378 0.431
8 Sm 0.624 0.376 0.750
9 Sm 0.935 0.065 0.110
10 Sm 0.935 0.065 0.390
11 Cu 0.237 0.763 0.750
12 Cu 0.763 0.237 0.250
13 Bi 0.195 0.805 0.099
14 Bi 0.195 0.805 0.401
15 Bi 0.805 0.195 0.599
16 Bi 0.805 0.195 0.901

3.
Cs3Tl2Hg8: optimized geometry, GGA-PBE.

Energy of formation (meV/atom): -144
VASP energy (eV/cell): -11.6
Symmetry: R-3m, No. 166

abc: 12.889 12.889 12.889
angles: 32.96 32.96 32.96
Atoms (fractional coordinates):
1 Cs 0.000 0.000 0.000
2 Cs 0.238 0.238 0.238
3 Cs 0.762 0.762 0.762
4 Tl 0.425 0.425 0.425
5 Tl 0.575 0.575 0.575
6 Hg 0.141 0.720 0.720
7 Hg 0.280 0.280 0.859
8 Hg 0.280 0.859 0.280
9 Hg 0.340 0.340 0.340
10 Hg 0.660 0.660 0.660
11 Hg 0.720 0.141 0.720
12 Hg 0.720 0.720 0.141
13 Hg 0.859 0.280 0.280

> The highest VASP energy belongs to which entry?

Cs3Tl2Hg8

> Which value of VASP energy does entry 1 give?

-25.3 eV/cell